No. 1
HoHf2Co3 | Alexandria | GGA-PBE | relaxed; M_tot = 0.5 μB per formula unit; space group = P4/mmm; V = 16.498 Å³ per atom; E_form = -0.343 eV/atom; ρ = 11.72 g cm⁻³
1.0
-2.106 -0.496 2.323
1.292 -2.844 0.564
6.167 4.083 6.464
Ho Co Hf
1 3 2
Direct
0.500 0.500 0.500
0.000 0.000 0.695
0.000 0.000 0.305
0.000 0.000 0.000
0.500 0.500 0.162
0.500 0.500 0.838

---

No. 2
CeEr2Mg | Alexandria | GGA-PBE | relaxed; M_tot = 0.4 μB per formula unit; space group = R-3m; V = 29.709 Å³ per atom; E_form = 0.210 eV/atom; ρ = 6.97 g cm⁻³
1.0
3.372 0.000 0.000
1.686 2.920 0.000
1.686 0.973 12.071
Ce Er Mg
1 2 1
Direct
0.500 0.500 0.500
0.090 0.090 0.731
0.910 0.910 0.269
0.000 0.000 0.000

---

No. 3
Th3CN | Alexandria | GGA-PBE | relaxed; M_tot = 0.0 μB per formula unit; space group = Cmc2_1; V = 21.445 Å³ per atom; ρ = 11.18 g cm⁻³; formation energy (no corrections) = -317 kJ/mol of formula units
1.0
3.636 0.000 0.000
0.000 6.280 0.000
-1.818 0.000 9.390
Th N C
6 2 2
Direct
0.250 0.157 0.501
0.750 0.657 0.499
0.411 0.829 0.821
0.912 0.326 0.823
0.589 0.329 0.179
0.088 0.826 0.177
0.165 0.488 0.331
0.835 0.988 0.669
0.663 0.994 0.326
0.337 0.494 0.674

---

Which value of V does entry 1 give? 16.498 Å³ per atom